# 1
! GGA-PBE SmErPa, optimized geometry; values from VASP
! energy relative to the lowest polymorph listed for this composition	0	meV per atom
! formation enthalpy at 0 K	1.084	eV per atom
&SYSTEM
  ibrav = 0, nat = 3, ntyp = 3
/
ATOMIC_SPECIES
Sm 150.36 Sm.upf
Er 167.26 Er.upf
Pa 231.04 Pa.upf
CELL_PARAMETERS angstrom
0.0000 3.7234 3.7234
3.7234 0.0000 3.7234
3.7234 3.7234 0.0000
ATOMIC_POSITIONS crystal
Sm 0.0000 0.0000 0.0000
Er 0.7500 0.7500 0.7500
Pa 0.5000 0.5000 0.5000

***

# 2
! GGA-PBE NiP2, optimized geometry; values from VASP
! E_tot	-4.64	eV/atom
&SYSTEM
  ibrav = 0, nat = 6, ntyp = 2
/
ATOMIC_SPECIES
Ni 58.69 Ni.upf
P 30.97 P.upf
CELL_PARAMETERS angstrom
0.0000 4.8045 4.8045
4.8045 0.0000 4.8045
4.8045 4.8045 0.0000
ATOMIC_POSITIONS crystal
Ni 0.1250 0.1250 0.1250
Ni 0.8750 0.8750 0.8750
P 0.0000 0.0000 0.0000
P 0.0000 0.0000 0.5000
P 0.0000 0.5000 0.0000
P 0.5000 0.0000 0.0000

***

# 3
! GGA-PBE SrTbSm, optimized geometry; values from VASP
! E_tot	-2.86	eV/atom
&SYSTEM
  ibrav = 0, nat = 3, ntyp = 3
/
ATOMIC_SPECIES
Sr 87.62 Sr.upf
Tb 158.93 Tb.upf
Sm 150.36 Sm.upf
CELL_PARAMETERS angstrom
0.0000 4.1001 4.1001
4.1001 0.0000 4.1001
4.1001 4.1001 0.0000
ATOMIC_POSITIONS crystal
Sr 0.0000 0.0000 0.0000
Tb 0.5000 0.5000 0.5000
Sm 0.2500 0.2500 0.2500

***

# 4
! GGA-PBE NbZn2Cd, optimized geometry; values from VASP
! formation enthalpy at 0 K	0.335	eV per atom
&SYSTEM
  ibrav = 0, nat = 4, ntyp = 3
/
ATOMIC_SPECIES
Nb 92.91 Nb.upf
Zn 65.41 Zn.upf
Cd 112.41 Cd.upf
CELL_PARAMETERS angstrom
0.0000 3.2469 3.2469
3.2469 0.0000 3.2469
3.2469 3.2469 0.0000
ATOMIC_POSITIONS crystal
Nb 0.0000 0.0000 0.0000
Zn 0.5000 0.5000 0.5000
Zn 0.7500 0.7500 0.7500
Cd 0.2500 0.2500 0.2500